VASP calculation (PBE) on a relaxed structure of Tb3ErRu.

abc: 5.397 5.397 5.397
angles: 90.00 90.00 90.00
Space group Pm-3m (No. 221)
Asymmetric unit:
Tb (0.000, 0.000, 0.500) [3 per cell]
Er (0.500, 0.500, 0.500) [1 per cell]
Ru (0.000, 0.000, 0.000) [1 per cell]

Summary:
Energy above the most stable polymorph in this dataset (meV/atom): 192
DFT total energy (eV per atom): -5.571


VASP calculation (PBE) on a relaxed structure of Nd3AlZn6Ga2.

abc: 6.0232 6.0232 8.2184
angles: 90.00 90.00 120.00
Space group P-3m1 (No. 164)
Asymmetric unit:
Nd (0.0000, 0.0000, 0.0000) [1 per cell]
Nd (0.3333, 0.6667, 0.6415) [2 per cell]
Al (0.0000, 0.0000, 0.5000) [1 per cell]
Zn (0.1864, 0.3727, 0.2922) [6 per cell]
Ga (0.3333, 0.6667, 0.0204) [2 per cell]

Summary:
DFT total energy (eV per atom): -2.849


VASP calculation (PBE) on a relaxed structure of Dy2ZnGa3.

abc: 3.652 4.383 7.599
angles: 90.00 90.00 90.00
Space group Pmm2 (No. 25)
Asymmetric unit:
Dy (0.000, 0.000, 0.000) [1 per cell]
Dy (0.000, 0.500, 0.494) [1 per cell]
Zn (0.500, 0.500, 0.828) [1 per cell]
Ga (0.500, 0.000, 0.333) [1 per cell]
Ga (0.500, 0.000, 0.669) [1 per cell]
Ga (0.500, 0.500, 0.159) [1 per cell]

Summary:
Energy above the most stable polymorph in this dataset (meV/atom): 6
DFT total energy (eV per atom): -3.858


VASP calculation (PBE) on a relaxed structure of Hf3Ta2Zn2.

abc: 4.282 21.257 2.957
angles: 90.00 90.00 90.00
Space group Cmmm (No. 65)
Asymmetric unit:
Hf (0.000, 0.000, 0.000) [2 per cell]
Hf (0.000, 0.144, 0.000) [4 per cell]
Ta (0.000, 0.287, 0.500) [4 per cell]
Zn (0.000, 0.430, 0.500) [4 per cell]

Summary:
DFT total energy (eV per atom): -7.940


VASP calculation (PBE) on a relaxed structure of Y4PtSe3.

abc: 8.353 11.698 4.034
angles: 90.00 90.00 90.00
Space group Cmmm (No. 65)
Asymmetric unit:
Y (0.000, 0.245, 0.000) [4 per cell]
Y (0.234, 0.000, 0.500) [4 per cell]
Pt (0.000, 0.000, 0.000) [2 per cell]
Se (0.000, 0.500, 0.000) [2 per cell]
Se (0.250, 0.250, 0.500) [4 per cell]

Summary:
DFT total energy (eV per atom): -6.934
Raw formation energy (eV per atom): -1.640


VASP calculation (PBE) on a relaxed structure of FePOs.

abc: 2.895 4.762 11.468
angles: 90.00 90.00 90.00
Space group Fmm2 (No. 42)
Asymmetric unit:
Fe (0.000, 0.000, 0.000) [4 per cell]
P (0.000, 0.000, 0.353) [4 per cell]
Os (0.000, 0.000, 0.694) [4 per cell]

Summary:
DFT total energy (eV per atom): -8.012


VASP calculation (PBE) on a relaxed structure of Co2As2P.

abc: 3.960 3.960 10.252
angles: 90.00 90.00 90.00
Space group P4/nmm (No. 129, origin choice 2)
Asymmetric unit:
Co (0.250, 0.250, 0.119) [2 per cell]
Co (0.250, 0.750, 0.500) [2 per cell]
As (0.250, 0.250, 0.346) [2 per cell]
As (0.250, 0.750, 0.000) [2 per cell]
P (0.250, 0.250, 0.635) [2 per cell]

Summary:
Energy above the most stable polymorph in this dataset (meV/atom): 0
DFT total energy (eV per atom): -5.733


VASP calculation (PBE) on a relaxed structure of BeAgMo.

abc: 2.7500 2.7500 6.5987
angles: 90.00 90.00 120.00
Space group P3m1 (No. 156)
Asymmetric unit:
Be (0.0000, 0.0000, 0.0000) [1 per cell]
Ag (0.3333, 0.6667, 0.6907) [1 per cell]
Mo (0.6667, 0.3333, 0.3062) [1 per cell]

Summary:
Energy above the most stable polymorph in this dataset (meV/atom): 156
DFT total energy (eV per atom): -5.403


VASP calculation (PBE) on a relaxed structure of LiCeNdTl.

abc: 7.700 7.700 7.700
angles: 90.00 90.00 90.00
Space group F-43m (No. 216)
Asymmetric unit:
Li (0.000, 0.000, 0.000) [4 per cell]
Ce (0.250, 0.250, 0.250) [4 per cell]
Nd (0.250, 0.250, 0.750) [4 per cell]
Tl (0.000, 0.000, 0.500) [4 per cell]

Summary:
DFT total energy (eV per atom): -3.828


VASP calculation (PBE) on a relaxed structure of Si2AsPt.

abc: 6.101 3.547 6.525
angles: 90.00 108.55 90.00
Space group C2/m (No. 12)
Asymmetric unit:
Si (0.246, 0.000, 0.238) [4 per cell]
As (0.000, 0.000, 0.500) [2 per cell]
Pt (0.000, 0.500, 0.000) [2 per cell]

Summary:
DFT total energy (eV per atom): -5.508
Raw formation energy (eV per atom): -0.124


VASP calculation (PBE) on a relaxed structure of CsTlTe4.

abc: 5.915 8.422 6.079
angles: 90.00 113.03 90.00
Space group Pm (No. 6)
Asymmetric unit:
Cs (0.000, 0.000, 0.000) [1 per cell]
Tl (0.647, 0.500, 0.025) [1 per cell]
Te (0.152, 0.317, 0.552) [2 per cell]
Te (0.559, 0.271, 0.446) [2 per cell]

Summary:
Energy above the most stable polymorph in this dataset (meV/atom): 0
DFT total energy (eV per atom): -2.963
Raw formation energy (eV per atom): -0.332


VASP calculation (PBE) on a relaxed structure of Cu2CI.

abc: 6.256 6.256 6.256
angles: 90.00 90.00 90.00
Space group Fm-3m (No. 225)
Asymmetric unit:
Cu (0.250, 0.250, 0.250) [8 per cell]
C (0.000, 0.000, 0.000) [4 per cell]
I (0.000, 0.000, 0.500) [4 per cell]

Summary:
Energy above the most stable polymorph in this dataset (meV/atom): 902
DFT total energy (eV per atom): -2.962
Raw formation energy (eV per atom): 1.780


VASP calculation (PBE) on a relaxed structure of Ce4Ge4Ru.

abc: 8.672 8.672 5.935
angles: 90.00 90.00 90.00
Space group I4/m (No. 87)
Asymmetric unit:
Ce (0.081, 0.283, 0.000) [8 per cell]
Ge (0.087, 0.275, 0.500) [8 per cell]
Ru (0.000, 0.000, 0.500) [2 per cell]

Summary:
DFT total energy (eV per atom): -6.083